## KCuMo2Pb (GGA-PBE)

Data for a relaxed structure of KCuMo2Pb.

abc: 5.6410 5.6410 5.0035
angles: 90.00 90.00 90.00
With the nearest neighbours (Å) after each atom.
Fractional positions:
K 0.0000 0.0000 0.0000  8 Mo 3.77, 4 Cu 3.99
Cu 0.5000 0.5000 0.0000  2 Pb 2.50
Mo 0.0000 0.5000 0.5000  2 Pb 2.82
Mo 0.5000 0.0000 0.5000  2 Pb 2.82
Pb 0.5000 0.5000 0.5000  2 Cu 2.50

Output
The calculation puts the total magnetic moment at 8.14 μB/cell. Its space group is P4/mmm. Its formation energy is 1.80 eV per atom.